# 1
# FeRh (GGA-PBE, relaxed)
# Mass density in g cm⁻³: 9.2
# Final energy in eV per atom: -7.52
data_FeRh
_cell_length_a 6.655
_cell_length_b 7.281
_cell_length_c 9.473
_cell_angle_alpha 90.00
_cell_angle_beta 90.00
_cell_angle_gamma 90.00
_symmetry_space_group_name_H-M 'P 1'
_symmetry_Int_Tables_number 1
_symmetry_space_group_name_Hall 'P 1'
loop_
_atom_site_label
_atom_site_type_symbol
_atom_site_fract_x
_atom_site_fract_y
_atom_site_fract_z
Rh1 Rh 0.250 0.564 0.750
Rh2 Rh 0.750 0.064 0.750
Rh3 Rh 0.250 0.936 0.750
Rh4 Rh 0.000 0.314 0.000
Rh5 Rh 0.250 0.064 0.250
Rh6 Rh 0.500 0.686 0.500
Rh7 Rh 0.750 0.564 0.250
Rh8 Rh 0.000 0.686 0.000
Rh9 Rh 0.500 0.814 0.000
Rh10 Rh 0.000 0.186 0.500
Rh11 Rh 0.750 0.936 0.250
Rh12 Rh 0.500 0.314 0.500
Rh13 Rh 0.500 0.186 0.000
Rh14 Rh 0.250 0.436 0.250
Rh15 Rh 0.000 0.814 0.500
Rh16 Rh 0.750 0.436 0.750
Fe1 Fe 0.574 0.750 0.750
Fe2 Fe 0.324 0.500 0.000
Fe3 Fe 0.676 0.000 0.500
Fe4 Fe 0.176 0.500 0.500
Fe5 Fe 0.926 0.750 0.750
Fe6 Fe 0.426 0.750 0.250
Fe7 Fe 0.676 0.500 0.000
Fe8 Fe 0.074 0.750 0.250
Fe9 Fe 0.176 0.000 0.000
Fe10 Fe 0.926 0.250 0.250
Fe11 Fe 0.824 0.500 0.500
Fe12 Fe 0.324 0.000 0.500
Fe13 Fe 0.574 0.250 0.250
Fe14 Fe 0.824 0.000 0.000
Fe15 Fe 0.074 0.250 0.750
Fe16 Fe 0.426 0.250 0.750

---

# 2
# FeRh2 (GGA-PBE, relaxed)
# Mass density in g cm⁻³: 10.7
# Final energy in eV per atom: -7.73
data_FeRh2
_cell_length_a 5.091
_cell_length_b 5.091
_cell_length_c 6.383
_cell_angle_alpha 75.09
_cell_angle_beta 75.09
_cell_angle_gamma 30.74
_symmetry_space_group_name_H-M 'P 1'
_symmetry_Int_Tables_number 1
_symmetry_space_group_name_Hall 'P 1'
loop_
_atom_site_label
_atom_site_type_symbol
_atom_site_fract_x
_atom_site_fract_y
_atom_site_fract_z
Rh1 Rh 0.137 0.137 0.475
Rh2 Rh 0.815 0.815 0.129
Rh3 Rh 0.185 0.185 0.871
Rh4 Rh 0.863 0.863 0.525
Fe1 Fe 0.468 0.468 0.800
Fe2 Fe 0.532 0.532 0.200

---

# 3
# FeRh (GGA-PBE, relaxed)
# Mass density in g cm⁻³: 7.5
# Final energy in eV per atom: -6.82
data_FeRh
_cell_length_a 3.677
_cell_length_b 3.677
_cell_length_c 3.677
_cell_angle_alpha 60.00
_cell_angle_beta 60.00
_cell_angle_gamma 60.00
_symmetry_space_group_name_H-M 'P 1'
_symmetry_Int_Tables_number 1
_symmetry_space_group_name_Hall 'P 1'
loop_
_atom_site_label
_atom_site_type_symbol
_atom_site_fract_x
_atom_site_fract_y
_atom_site_fract_z
Fe1 Fe 0.000 0.000 0.000
Rh1 Rh 0.250 0.250 0.250

---

# 4
# Fe3Rh2 (GGA-PBE, relaxed)
# Mass density in g cm⁻³: 9.4
# Final energy in eV per atom: -7.98
data_Fe3Rh2
_cell_length_a 2.650
_cell_length_b 6.427
_cell_length_c 4.168
_cell_angle_alpha 108.92
_cell_angle_beta 90.00
_cell_angle_gamma 81.17
_symmetry_space_group_name_H-M 'P 1'
_symmetry_Int_Tables_number 1
_symmetry_space_group_name_Hall 'P 1'
loop_
_atom_site_label
_atom_site_type_symbol
_atom_site_fract_x
_atom_site_fract_y
_atom_site_fract_z
Fe1 Fe 0.629 0.204 0.602
Fe2 Fe 0.800 0.600 0.800
Fe3 Fe 0.971 0.996 0.998
Rh1 Rh 0.419 0.811 0.405
Rh2 Rh 0.181 0.389 0.195

---

# 5
# FeRh (GGA-PBE, relaxed)
# Mass density in g cm⁻³: 9.9
# Final energy in eV per atom: -7.88
data_FeRh
_cell_length_a 4.575
_cell_length_b 4.626
_cell_length_c 4.561
_cell_angle_alpha 99.09
_cell_angle_beta 71.37
_cell_angle_gamma 119.64
_symmetry_space_group_name_H-M 'P 1'
_symmetry_Int_Tables_number 1
_symmetry_space_group_name_Hall 'P 1'
loop_
_atom_site_label
_atom_site_type_symbol
_atom_site_fract_x
_atom_site_fract_y
_atom_site_fract_z
Rh1 Rh 0.332 0.663 0.000
Rh2 Rh 0.662 0.324 0.000
Rh3 Rh 0.838 0.676 0.500
Fe1 Fe 0.996 0.992 0.000
Fe2 Fe 0.503 0.007 0.500
Fe3 Fe 0.168 0.337 0.500

---

# 6
# Fe4Rh (GGA-PBE, relaxed)
# Mass density in g cm⁻³: 8.7
# Final energy in eV per atom: -8.27
data_Fe4Rh
_cell_length_a 2.907
_cell_length_b 4.853
_cell_length_c 4.853
_cell_angle_alpha 84.85
_cell_angle_beta 107.43
_cell_angle_gamma 107.43
_symmetry_space_group_name_H-M 'P 1'
_symmetry_Int_Tables_number 1
_symmetry_space_group_name_Hall 'P 1'
loop_
_atom_site_label
_atom_site_type_symbol
_atom_site_fract_x
_atom_site_fract_y
_atom_site_fract_z
Rh1 Rh 0.200 0.800 0.600
Fe1 Fe 0.804 0.211 0.396
Fe2 Fe 0.393 0.596 0.189
Fe3 Fe 0.007 0.004 0.011
Fe4 Fe 0.596 0.389 0.804